No. 1
## KSr2InGa (GGA-PBE)

Data for KSr2InGa after structural relaxation.

Output
energy of formation: 0.665 eV per atom
space-group type: P4/mmm (123)

Geometry as CIF:
```
data_KSr2InGa
_chemical_formula_sum 'K1 Sr2 In1 Ga1'
_cell_length_a 6.600
_cell_length_b 6.600
_cell_length_c 5.454
_cell_angle_alpha 90.00
_cell_angle_beta 90.00
_cell_angle_gamma 90.00
_space_group_name_H-M_alt 'P 1'
_space_group_IT_number 1
loop_
_space_group_symop_operation_xyz
'x,y,z'
loop_
_atom_site_label
_atom_site_type_symbol
_atom_site_fract_x
_atom_site_fract_y
_atom_site_fract_z
K1 K 0.000 0.000 0.000
Sr1 Sr 0.000 0.500 0.000
Sr2 Sr 0.500 0.000 0.000
In1 In 0.500 0.500 0.500
Ga1 Ga 0.000 0.000 0.500
```

=====

No. 2
## KInGa2Tc (GGA-PBE)

Data for KInGa2Tc after structural relaxation.

Output
energy of formation: -0.094 eV per atom
space-group type: P4/mmm (123)

Geometry as CIF:
```
data_KInGa2Tc
_chemical_formula_sum 'K1 In1 Ga2 Tc1'
_cell_length_a 4.942
_cell_length_b 4.942
_cell_length_c 5.237
_cell_angle_alpha 90.00
_cell_angle_beta 90.00
_cell_angle_gamma 90.00
_space_group_name_H-M_alt 'P 1'
_space_group_IT_number 1
loop_
_space_group_symop_operation_xyz
'x,y,z'
loop_
_atom_site_label
_atom_site_type_symbol
_atom_site_fract_x
_atom_site_fract_y
_atom_site_fract_z
K1 K 0.000 0.000 0.000
In1 In 0.500 0.500 0.000
Ga1 Ga 0.000 0.500 0.500
Ga2 Ga 0.500 0.000 0.500
Tc1 Tc 0.500 0.500 0.500
```

=====

No. 3
## KIn2GaTc (GGA-PBE)

Data for KIn2GaTc after structural relaxation.

Output
energy of formation: -0.039 eV per atom
space-group type: P4/mmm (123)

Geometry as CIF:
```
data_KIn2GaTc
_chemical_formula_sum 'K1 In2 Ga1 Tc1'
_cell_length_a 5.269
_cell_length_b 5.269
_cell_length_c 4.949
_cell_angle_alpha 90.00
_cell_angle_beta 90.00
_cell_angle_gamma 90.00
_space_group_name_H-M_alt 'P 1'
_space_group_IT_number 1
loop_
_space_group_symop_operation_xyz
'x,y,z'
loop_
_atom_site_label
_atom_site_type_symbol
_atom_site_fract_x
_atom_site_fract_y
_atom_site_fract_z
K1 K 0.000 0.000 0.000
In1 In 0.000 0.500 0.500
In2 In 0.500 0.000 0.500
Ga1 Ga 0.500 0.500 0.000
Tc1 Tc 0.500 0.500 0.500
```

=====

No. 4
## KIn2GaTe (GGA-PBE)

Data for KIn2GaTe after structural relaxation.

Output
energy relative to the elements, uncorrected: 0.232 eV/atom
space-group type: P4/mmm (123)

Geometry as CIF:
```
data_KIn2GaTe
_chemical_formula_sum 'K1 In2 Ga1 Te1'
_cell_length_a 6.030
_cell_length_b 6.030
_cell_length_c 5.697
_cell_angle_alpha 90.00
_cell_angle_beta 90.00
_cell_angle_gamma 90.00
_space_group_name_H-M_alt 'P 1'
_space_group_IT_number 1
loop_
_space_group_symop_operation_xyz
'x,y,z'
loop_
_atom_site_label
_atom_site_type_symbol
_atom_site_fract_x
_atom_site_fract_y
_atom_site_fract_z
K1 K 0.000 0.000 0.000
In1 In 0.000 0.500 0.500
In2 In 0.500 0.000 0.500
Ga1 Ga 0.500 0.500 0.000
Te1 Te 0.500 0.500 0.500
```

=====

No. 5
## KInGaTe3 (GGA-PBE)

Data for KInGaTe3 after structural relaxation.

Output
energy relative to the elements, uncorrected: -0.492 eV/atom
space-group type: P2_1/m (11)

Geometry as CIF:
```
data_KInGaTe3
_chemical_formula_sum 'K2 In2 Ga2 Te6'
_cell_length_a 9.418
_cell_length_b 4.572
_cell_length_c 10.603
_cell_angle_alpha 90.00
_cell_angle_beta 107.29
_cell_angle_gamma 90.00
_space_group_name_H-M_alt 'P 1'
_space_group_IT_number 1
loop_
_space_group_symop_operation_xyz
'x,y,z'
loop_
_atom_site_label
_atom_site_type_symbol
_atom_site_fract_x
_atom_site_fract_y
_atom_site_fract_z
K1 K 0.217 0.250 0.245
K2 K 0.783 0.750 0.755
In1 In 0.337 0.750 0.888
In2 In 0.663 0.250 0.112
Ga1 Ga 0.085 0.250 0.619
Ga2 Ga 0.915 0.750 0.381
Te1 Te 0.100 0.250 0.872
Te2 Te 0.203 0.750 0.547
Te3 Te 0.475 0.750 0.174
Te4 Te 0.525 0.250 0.826
Te5 Te 0.797 0.250 0.453
Te6 Te 0.900 0.750 0.128
```

=====

No. 6
## KIn2GaTe4 (GGA-PBE)

Data for KIn2GaTe4 after structural relaxation.

Output
energy relative to the elements, uncorrected: -0.442 eV/atom
space-group type: Cmcm (63)

Geometry as CIF:
```
data_KIn2GaTe4
_chemical_formula_sum 'K2 In4 Ga2 Te8'
_cell_length_a 8.152
_cell_length_b 8.152
_cell_length_c 15.953
_cell_angle_alpha 90.00
_cell_angle_beta 90.00
_cell_angle_gamma 148.25
_space_group_name_H-M_alt 'P 1'
_space_group_IT_number 1
loop_
_space_group_symop_operation_xyz
'x,y,z'
loop_
_atom_site_label
_atom_site_type_symbol
_atom_site_fract_x
_atom_site_fract_y
_atom_site_fract_z
K1 K 0.126 0.874 0.750
K2 K 0.874 0.126 0.250
In1 In 0.382 0.618 0.561
In2 In 0.382 0.618 0.939
In3 In 0.618 0.382 0.061
In4 In 0.618 0.382 0.439
Ga1 Ga 0.157 0.843 0.250
Ga2 Ga 0.843 0.157 0.750
Te1 Te 0.000 0.000 0.000
Te2 Te 0.000 0.000 0.500
Te3 Te 0.248 0.752 0.112
Te4 Te 0.248 0.752 0.388
Te5 Te 0.445 0.555 0.750
Te6 Te 0.555 0.445 0.250
Te7 Te 0.752 0.248 0.612
Te8 Te 0.752 0.248 0.888
```

=====

No. 7
## KTlInGa2 (GGA-PBE)

Data for KTlInGa2 after structural relaxation.

Output
energy of formation: -0.079 eV per atom
space-group type: Imm2 (44)

Geometry as CIF:
```
data_KTlInGa2
_chemical_formula_sum 'K1 Tl1 In1 Ga2'
_cell_length_a 7.017
_cell_length_b 7.017
_cell_length_c 7.017
_cell_angle_alpha 140.74
_cell_angle_beta 139.99
_cell_angle_gamma 57.30
_space_group_name_H-M_alt 'P 1'
_space_group_IT_number 1
loop_
_space_group_symop_operation_xyz
'x,y,z'
loop_
_atom_site_label
_atom_site_type_symbol
_atom_site_fract_x
_atom_site_fract_y
_atom_site_fract_z
K1 K 0.000 0.000 0.000
Tl1 Tl 0.393 0.393 0.000
In1 In 0.238 0.738 0.500
Ga1 Ga 0.622 0.622 0.000
Ga2 Ga 0.739 0.239 0.500
```

=====

No. 8
## K2TlIn3Ga4 (GGA-PBE)

Data for K2TlIn3Ga4 after structural relaxation.

Output
energy of formation: -0.099 eV per atom
space-group type: P-4m2 (115)

Geometry as CIF:
```
data_K2TlIn3Ga4
_chemical_formula_sum 'K2 Tl1 In3 Ga4'
_cell_length_a 4.821
_cell_length_b 4.821
_cell_length_c 11.898
_cell_angle_alpha 90.00
_cell_angle_beta 90.00
_cell_angle_gamma 90.00
_space_group_name_H-M_alt 'P 1'
_space_group_IT_number 1
loop_
_space_group_symop_operation_xyz
'x,y,z'
loop_
_atom_site_label
_atom_site_type_symbol
_atom_site_fract_x
_atom_site_fract_y
_atom_site_fract_z
K1 K 0.000 0.500 0.246
K2 K 0.500 0.000 0.754
Tl1 Tl 0.000 0.000 0.500
In1 In 0.000 0.500 0.870
In2 In 0.500 0.000 0.130
In3 In 0.500 0.500 0.500
Ga1 Ga 0.000 0.000 0.000
Ga2 Ga 0.000 0.500 0.639
Ga3 Ga 0.500 0.000 0.361
Ga4 Ga 0.500 0.500 0.000
```

=====

No. 9
## LaInGa (GGA-PBE)

Data for LaInGa after structural relaxation.

Output
energy of formation: -0.464 eV per atom
E above lowest polymorph: 99 meV/atom
space-group type: F-43m (216)

Geometry as CIF:
```
data_LaInGa
_chemical_formula_sum 'La1 In1 Ga1'
_cell_length_a 4.918
_cell_length_b 4.918
_cell_length_c 4.918
_cell_angle_alpha 60.00
_cell_angle_beta 60.00
_cell_angle_gamma 60.00
_space_group_name_H-M_alt 'P 1'
_space_group_IT_number 1
loop_
_space_group_symop_operation_xyz
'x,y,z'
loop_
_atom_site_label
_atom_site_type_symbol
_atom_site_fract_x
_atom_site_fract_y
_atom_site_fract_z
La1 La 0.000 0.000 0.000
In1 In 0.500 0.500 0.500
Ga1 Ga 0.250 0.250 0.250
```

=====

No. 10
## La5In2Ga2 (GGA-PBE)

Data for La5In2Ga2 after structural relaxation.

Output
energy of formation: -0.448 eV per atom
space-group type: Cmce (64)

Geometry as CIF:
```
data_La5In2Ga2
_chemical_formula_sum 'La10 In4 Ga4'
_cell_length_a 9.429
_cell_length_b 9.429
_cell_length_c 8.109
_cell_angle_alpha 90.00
_cell_angle_beta 90.00
_cell_angle_gamma 51.56
_space_group_name_H-M_alt 'P 1'
_space_group_IT_number 1
loop_
_space_group_symop_operation_xyz
'x,y,z'
loop_
_atom_site_label
_atom_site_type_symbol
_atom_site_fract_x
_atom_site_fract_y
_atom_site_fract_z
La1 La 0.000 0.000 0.000
La2 La 0.062 0.674 0.682
La3 La 0.174 0.562 0.182
La4 La 0.326 0.938 0.682
La5 La 0.438 0.826 0.182
La6 La 0.500 0.500 0.500
La7 La 0.562 0.174 0.818
La8 La 0.674 0.062 0.318
La9 La 0.826 0.438 0.818
La10 La 0.938 0.326 0.318
In1 In 0.222 0.222 0.000
In2 In 0.278 0.278 0.500
In3 In 0.722 0.722 0.500
In4 In 0.778 0.778 0.000
Ga1 Ga 0.110 0.890 0.386
Ga2 Ga 0.390 0.610 0.886
Ga3 Ga 0.610 0.390 0.114
Ga4 Ga 0.890 0.110 0.614
```

=====

No. 11
## La3In2Ga4 (GGA-PBE)

Data for La3In2Ga4 after structural relaxation.

Output
energy of formation: -0.603 eV per atom
space-group type: C2/m (12)

Geometry as CIF:
```
data_La3In2Ga4
_chemical_formula_sum 'La3 In2 Ga4'
_cell_length_a 6.312
_cell_length_b 6.312
_cell_length_c 9.023
_cell_angle_alpha 100.57
_cell_angle_beta 100.57
_cell_angle_gamma 41.71
_space_group_name_H-M_alt 'P 1'
_space_group_IT_number 1
loop_
_space_group_symop_operation_xyz
'x,y,z'
loop_
_atom_site_label
_atom_site_type_symbol
_atom_site_fract_x
_atom_site_fract_y
_atom_site_fract_z
La1 La 0.000 0.000 0.000
La2 La 0.334 0.334 0.332
La3 La 0.666 0.666 0.668
In1 In 0.392 0.392 0.727
In2 In 0.608 0.608 0.273
Ga1 Ga 0.072 0.072 0.415
Ga2 Ga 0.289 0.289 0.967
Ga3 Ga 0.711 0.711 0.033
Ga4 Ga 0.928 0.928 0.585
```

=====

No. 12
## LaIn2Ga (GGA-PBE)

Data for LaIn2Ga after structural relaxation.

Output
energy of formation: 0.100 eV per atom
space-group type: R-3m (166)

Geometry as CIF:
```
data_LaIn2Ga
_chemical_formula_sum 'La1 In2 Ga1'
_cell_length_a 11.335
_cell_length_b 11.335
_cell_length_c 11.335
_cell_angle_alpha 17.41
_cell_angle_beta 17.41
_cell_angle_gamma 17.41
_space_group_name_H-M_alt 'P 1'
_space_group_IT_number 1
loop_
_space_group_symop_operation_xyz
'x,y,z'
loop_
_atom_site_label
_atom_site_type_symbol
_atom_site_fract_x
_atom_site_fract_y
_atom_site_fract_z
La1 La 0.000 0.000 0.000
In1 In 0.098 0.098 0.098
In2 In 0.902 0.902 0.902
Ga1 Ga 0.500 0.500 0.500
```